First-principles (PBE) data for a relaxed structure of PaCuC, as listed in the Alexandria database.

Properties
**ΔE_f**: -266 meV per atom
**D(E_F)**: 2.98 states/eV/cell

POSCAR file:
```
PaCuC
1.0
3.5080 0.0000 0.0000
0.0000 3.5080 0.0000
0.0000 0.0000 7.4502
Pa Cu C
2 2 2
direct
0.2500 0.2500 0.1767
0.7500 0.7500 0.8233
0.2500 0.2500 0.5728
0.7500 0.7500 0.4272
0.2500 0.2500 0.8597
0.7500 0.7500 0.1403
```